VASP calculation (PBE-GGA) on ZnTc2Ag after structural relaxation.

Properties
* ΔH_f (0 K): 0.363 eV/atom
* DFT total energy: -5.8508 eV per atom
* SG: Pmmm, No. 47

Lattice parameters (Å, degrees): 3.216 4.123 4.595 90.00 90.00 90.00
Element x y z (fractional)
Tc (0.000, 0.000, 0.000)
Zn (0.500, 0.000, 0.500)
Ag (0.000, 0.500, 0.500)
Tc (0.500, 0.500, 0.000)